[1]
LiScTlTe3, relaxed, DFT PBE; SG = P2_1/m; DFT total energy = -4.1255 eV per atom
1.0
9.1353 0.0000 0.0000
0.0000 4.1529 0.0000
-3.1417 0.0000 9.6289
Li Sc Tl Te
2 2 2 6
Direct
0.0727 0.2500 0.1030 Li
0.9273 0.7500 0.8970 Li
0.3253 0.7500 0.3446 Sc
0.6747 0.2500 0.6554 Sc
0.2012 0.2500 0.7562 Tl
0.7988 0.7500 0.2438 Tl
0.1195 0.2500 0.3843 Te
0.2424 0.7500 0.0437 Te
0.4460 0.7500 0.6506 Te
0.5540 0.2500 0.3494 Te
0.7576 0.2500 0.9563 Te
0.8805 0.7500 0.6157 Te

***

[2]
ZrAgAuF2, relaxed, DFT PBE; SG = P4/mmm; DFT total energy = -5.1646 eV per atom
1.0
4.1139 0.0000 0.0000
0.0000 4.1139 0.0000
0.0000 0.0000 5.7906
Zr Ag Au F
1 1 1 2
Direct
0.0000 0.0000 0.0000 Zr
0.0000 0.0000 0.5000 Ag
0.5000 0.5000 0.5000 Au
0.0000 0.5000 0.0000 F
0.5000 0.0000 0.0000 F

***

[3]
BeHgTe2I, relaxed, DFT PBE; energy above the lowest structure with this stoichiometry = 0.720 eV/atom; SG = P4/mmm; DFT total energy = -1.3346 eV per atom
1.0
5.6623 0.0000 0.0000
0.0000 5.6623 0.0000
0.0000 0.0000 5.8888
Be Hg Te I
1 1 2 1
Direct
0.0000 0.0000 0.0000 Be
0.5000 0.5000 0.5000 Hg
0.0000 0.5000 0.5000 Te
0.5000 0.0000 0.5000 Te
0.5000 0.5000 0.0000 I

***

[4]
ScPBr3, relaxed, DFT PBE; energy above the lowest structure with this stoichiometry = 0.000 eV/atom; SG = Pm-3m; DFT total energy = -3.8698 eV per atom
1.0
5.3481 0.0000 0.0000
0.0000 5.3481 0.0000
0.0000 0.0000 5.3481
Sc P Br
1 1 3
Direct
0.0000 0.0000 0.0000 Sc
0.5000 0.5000 0.5000 P
0.0000 0.0000 0.5000 Br
0.0000 0.5000 0.0000 Br
0.5000 0.0000 0.0000 Br

***

[5]
BiSbPd, relaxed, DFT PBE; energy above the lowest structure with this stoichiometry = 0.081 eV/atom; SG = P3m1; DFT total energy = -4.6019 eV per atom
1.0
4.1596 0.0000 0.0000
-2.0798 3.6023 0.0000
0.0000 0.0000 5.2984
Bi Sb Pd
1 1 1
Direct
0.0000 0.0000 0.0000 Bi
0.6667 0.3333 0.5008 Sb
0.3333 0.6667 0.7236 Pd

***

[6]
U2CuNi3Ge4, relaxed, DFT PBE; SG = P-4m2; DFT total energy = -6.6079 eV per atom
1.0
4.0960 0.0000 0.0000
0.0000 4.0960 0.0000
0.0000 0.0000 9.6654
U Cu Ni Ge
2 1 3 4
Direct
0.0000 0.5000 0.2495 U
0.5000 0.0000 0.7505 U
0.5000 0.5000 0.0000 Cu
0.0000 0.0000 0.0000 Ni
0.0000 0.5000 0.6248 Ni
0.5000 0.0000 0.3752 Ni
0.0000 0.0000 0.5000 Ge
0.0000 0.5000 0.8646 Ge
0.5000 0.0000 0.1354 Ge
0.5000 0.5000 0.5000 Ge